! GGA+U SrCaFeP2O8, relaxed; values from VASP
! V in Å³/cell: 414.2
! Energy relative to the lowest polymorph listed for this composition in eV per atom: 0.674
! Raw total energy in eV per atom: -6.511
&SYSTEM
  ibrav = 0, nat = 26, ntyp = 5
/
ATOMIC_SPECIES
Sr 87.62 Sr.upf
O 16.00 O.upf
Ca 40.08 Ca.upf
P 30.97 P.upf
Fe 55.84 Fe.upf
CELL_PARAMETERS angstrom
5.2560 -0.6557 -0.1402
-1.5197 8.5281 -0.0248
-1.6066 -4.2851 9.5296
ATOMIC_POSITIONS crystal
Sr 0.1940 0.7961 0.9247
Sr 0.8060 0.2039 0.0753
O 0.4151 0.6867 0.1751
O 0.9487 0.8260 0.2570
O 0.0538 0.4492 0.2959
O 0.4155 0.3431 0.5154
O 0.3288 0.0493 0.8667
O 0.9462 0.5508 0.7041
O 0.5382 0.4025 0.1401
O 0.4618 0.5975 0.8599
O 0.5849 0.3133 0.8249
O 0.5845 0.6569 0.4846
O 0.6249 0.7492 0.8275
O 0.6417 0.9819 0.3823
O 0.3583 0.0181 0.6177
O 0.6712 0.9507 0.1333
O 0.0513 0.1740 0.7430
O 0.3751 0.2508 0.1725
Ca 0.7608 0.2403 0.5960
Ca 0.2392 0.7597 0.4040
P 0.2958 0.1199 0.7547
P 0.6560 0.5210 0.9364
P 0.3440 0.4790 0.0636
P 0.7042 0.8801 0.2453
Fe 0.6489 0.5920 0.6346
Fe 0.3511 0.4080 0.3654